Below is Dy2Cd2Rh3 after structural relaxation, with properties calculated at the GGA-PBE level.

For the calculated density, the calculation gives 10.0 Mg/m³. The formation energy comes out at -564 meV/atom. As for the magnetic moment: 0.00 μB/atom.

It has space group P-1 (No. 2), with a = 4.7156 Å, b = 4.7325 Å, c = 7.8324 Å, α = 72.51°, β = 89.89° and γ = 60.25°. Symmetry generates all atoms from Dy at (0.1169, 0.2676, 0.3463), Cd at (0.3711, 0.7595, 0.1069), Rh at (0.2414, 0.0155, 0.7324) and Rh at (0.5000, 0.5000, 0.5000).



Below is Hg2MoW after structural relaxation, with properties calculated at the GGA-PBE level.

For the calculated density, the calculation gives 14.6 Mg/m³. The formation energy comes out at 445 meV/atom. As for the magnetic moment: 0.00 μB/atom.

It has space group Cmm2 (No. 35), with a = 3.2108 Å, b = 4.9044 Å, c = 9.8584 Å, α = 90.00°, β = 90.00° and γ = 90.00°. Symmetry generates all atoms from Hg at (0.0000, 0.0000, 0.0000), Hg at (0.0000, 0.5000, 0.2867), Mo at (0.0000, 0.0000, 0.5428) and W at (0.0000, 0.5000, 0.7417).



Below is BaBMo2 after structural relaxation, with properties calculated at the GGA-PBE level.

For the calculated density, the calculation gives 5.7 Mg/m³. The formation energy comes out at 1058 meV/atom. As for the magnetic moment: 0.00 μB/atom.

It has space group I4_1/amd (No. 141, origin choice 2), with a = 6.5487 Å, b = 6.5487 Å, c = 9.2186 Å, α = 90.00°, β = 90.00° and γ = 90.00°. Symmetry generates all atoms from Ba at (0.0000, 0.2500, 0.3750), B at (0.0000, 0.2500, 0.8750) and Mo at (0.0000, 0.0000, 0.0000).